[1]
Density functional theory data (PBE) for a relaxed structure of RbTa3I.

Cell lengths 4.9622, 4.9622, 4.9622 Å; angles 90.00, 90.00, 90.00 degrees
Last column: nearest neighbours and their distance in Å.
Fractional positions:
Rb (0.0000, 0.0000, 0.0000)  6 Ta 2.48
Ta (0.0000, 0.0000, 0.5000)  2 Rb 2.48
Ta (0.0000, 0.5000, 0.0000)  2 Rb 2.48
Ta (0.5000, 0.0000, 0.0000)  2 Rb 2.48
I (0.5000, 0.5000, 0.5000)  12 Ta 3.51

Calculated values
E_form (uncorrected)   3332 meV/atom

[2]
Density functional theory data (PBE) for a relaxed structure of Al5Sb4.

Cell lengths 8.7597, 8.7597, 6.0423 Å; angles 90.00, 90.00, 120.00 degrees
Last column: nearest neighbours and their distance in Å.
Fractional positions:
Al (0.0000, 0.3113, 0.2500)  7 Sb 2.88-3.12
Al (0.0000, 0.6887, 0.7500)  7 Sb 2.88-3.12
Al (0.3113, 0.0000, 0.2500)  7 Sb 2.88-3.12
Al (0.3113, 0.3113, 0.7500)  7 Sb 2.88-3.12
Al (0.3333, 0.6667, 0.0000)  8 Al 3.02-3.38, 6 Sb 3.19
Al (0.3333, 0.6667, 0.5000)  8 Al 3.02-3.38, 6 Sb 3.19
Al (0.6667, 0.3333, 0.0000)  8 Al 3.02-3.38, 6 Sb 3.19
Al (0.6667, 0.3333, 0.5000)  8 Al 3.02-3.38, 6 Sb 3.19
Al (0.6887, 0.0000, 0.7500)  7 Sb 2.88-3.12
Al (0.6887, 0.6887, 0.2500)  7 Sb 2.88-3.12
Sb (0.0000, 0.0000, 0.0000)  2 Sb 3.02, 6 Al 3.12
Sb (0.0000, 0.0000, 0.5000)  2 Sb 3.02, 6 Al 3.12
Sb (0.0000, 0.3603, 0.7500)  9 Al 2.88-3.19
Sb (0.0000, 0.6397, 0.2500)  9 Al 2.88-3.19
Sb (0.3603, 0.0000, 0.7500)  9 Al 2.88-3.19
Sb (0.3603, 0.3603, 0.2500)  9 Al 2.88-3.19
Sb (0.6397, 0.0000, 0.2500)  9 Al 2.88-3.19
Sb (0.6397, 0.6397, 0.7500)  9 Al 2.88-3.19

Calculated values
E_form (uncorrected)   205 meV/atom

[3]
Density functional theory data (PBE) for a relaxed structure of Ta2RhBr.

Cell lengths 4.3771, 4.3771, 5.9523 Å; angles 97.91, 97.91, 39.36 degrees
Last column: nearest neighbours and their distance in Å.
Fractional positions:
Ta (0.2478, 0.2478, 0.2378)  3 Rh 2.68-2.74, 3 Br 2.75-2.82, 2 Ta 2.95
Ta (0.7522, 0.7522, 0.7622)  3 Rh 2.68-2.74, 3 Br 2.75-2.82, 2 Ta 2.95
Rh (0.5000, 0.5000, 0.0000)  6 Ta 2.68-2.74, 2 Rh 2.95
Br (0.0000, 0.0000, 0.5000)  6 Ta 2.75-2.82, 2 Br 2.95

Calculated values
E_form (uncorrected)   318 meV/atom

[4]
Density functional theory data (PBE) for a relaxed structure of AgMoRh2.

Cell lengths 2.8152, 2.8152, 7.8316 Å; angles 90.00, 90.00, 90.00 degrees
Last column: nearest neighbours and their distance in Å.
Fractional positions:
Ag (0.0000, 0.0000, 0.0000)  4 Ag 2.82, 8 Rh 2.90
Mo (0.0000, 0.0000, 0.5000)  8 Rh 2.69, 4 Mo 2.82
Rh (0.5000, 0.5000, 0.2698)  4 Mo 2.69, 4 Rh 2.82, 4 Ag 2.90
Rh (0.5000, 0.5000, 0.7302)  4 Mo 2.69, 4 Rh 2.82, 4 Ag 2.90

Calculated values
Energy of formation from the pure elements   -0.094 eV/f.u.

Quick rundown of polymorph energy (0 for the lowest one), same order as above: 1032; 16; 301; 5 meV/atom
Quick rundown of magnetic moment, same order as above: 0.000; 0.000; 0.000; 0.000 μB/atom